## PrScSn2 (PBE)

Data for PrScSn2 after structural relaxation.

CIF file:
```
data_PrScSn2
_symmetry_space_group_name_H-M 'P 1'
_symmetry_Int_Tables_number 1
_symmetry_space_group_name_Hall 'P 1'
_cell_length_a 3.281
_cell_length_b 6.814
_cell_length_c 6.814
_cell_angle_alpha 54.02
_cell_angle_beta 90.00
_cell_angle_gamma 90.00
loop_
_atom_site_label
_atom_site_type_symbol
_atom_site_fract_x
_atom_site_fract_y
_atom_site_fract_z
_atom_site_occupancy
Pr1 Pr 0.000 0.000 0.000 1
Sc1 Sc 0.000 0.274 0.274 1
Sn1 Sn 0.000 0.506 0.506 1
Sn2 Sn 0.000 0.740 0.740 1
```

Computed properties:
Theoretical density: 5.702 g/cm3
E: -18.7 eV per cell
Crystal system: orthorhombic

=====

## TbPrSc (PBE)

Data for TbPrSc after structural relaxation.

CIF file:
```
data_TbPrSc
_symmetry_space_group_name_H-M 'P 1'
_symmetry_Int_Tables_number 1
_symmetry_space_group_name_Hall 'P 1'
_cell_length_a 5.313
_cell_length_b 5.313
_cell_length_c 5.313
_cell_angle_alpha 60.00
_cell_angle_beta 60.00
_cell_angle_gamma 60.00
loop_
_atom_site_label
_atom_site_type_symbol
_atom_site_fract_x
_atom_site_fract_y
_atom_site_fract_z
_atom_site_occupancy
Tb1 Tb 0.000 0.000 0.000 1
Pr1 Pr 0.500 0.500 0.500 1
Sc1 Sc 0.750 0.750 0.750 1
```

Computed properties:
Theoretical density: 5.399 g/cm3
DFT formation energy: 0.67 eV per atom
E: -13.7 eV per cell
E above lowest polymorph: 0 meV/atom
Crystal system: cubic

=====

## PrScTe (PBE)

Data for PrScTe after structural relaxation.

CIF file:
```
data_PrScTe
_symmetry_space_group_name_H-M 'P 1'
_symmetry_Int_Tables_number 1
_symmetry_space_group_name_Hall 'P 1'
_cell_length_a 5.049
_cell_length_b 5.049
_cell_length_c 5.049
_cell_angle_alpha 60.00
_cell_angle_beta 60.00
_cell_angle_gamma 60.00
loop_
_atom_site_label
_atom_site_type_symbol
_atom_site_fract_x
_atom_site_fract_y
_atom_site_fract_z
_atom_site_occupancy
Pr1 Pr 0.000 0.000 0.000 1
Sc1 Sc 0.500 0.500 0.500 1
Te1 Te 0.250 0.250 0.250 1
```

Computed properties:
Theoretical density: 5.720 g/cm3
E: -15.8 eV per cell
E above lowest polymorph: 0 meV/atom
Crystal system: cubic

=====

## PrScTe3 (PBE)

Data for PrScTe3 after structural relaxation.

CIF file:
```
data_PrScTe3
_symmetry_space_group_name_H-M 'P 1'
_symmetry_Int_Tables_number 1
_symmetry_space_group_name_Hall 'P 1'
_cell_length_a 7.177
_cell_length_b 7.177
_cell_length_c 10.550
_cell_angle_alpha 90.00
_cell_angle_beta 90.00
_cell_angle_gamma 145.57
loop_
_atom_site_label
_atom_site_type_symbol
_atom_site_fract_x
_atom_site_fract_y
_atom_site_fract_z
_atom_site_occupancy
Pr1 Pr 0.249 0.751 0.750 1
Pr2 Pr 0.751 0.249 0.250 1
Sc1 Sc 0.500 0.500 0.000 1
Sc2 Sc 0.500 0.500 0.500 1
Te1 Te 0.143 0.857 0.055 1
Te2 Te 0.143 0.857 0.445 1
Te3 Te 0.424 0.576 0.250 1
Te4 Te 0.576 0.424 0.750 1
Te5 Te 0.857 0.143 0.555 1
Te6 Te 0.857 0.143 0.945 1
```

Computed properties:
Theoretical density: 6.146 g/cm3
E: -54.6 eV per cell
Crystal system: orthorhombic

=====

## PrScTe (PBE)

Data for PrScTe after structural relaxation.

CIF file:
```
data_PrScTe
_symmetry_space_group_name_H-M 'P 1'
_symmetry_Int_Tables_number 1
_symmetry_space_group_name_Hall 'P 1'
_cell_length_a 5.246
_cell_length_b 5.246
_cell_length_c 5.246
_cell_angle_alpha 60.00
_cell_angle_beta 60.00
_cell_angle_gamma 60.00
loop_
_atom_site_label
_atom_site_type_symbol
_atom_site_fract_x
_atom_site_fract_y
_atom_site_fract_z
_atom_site_occupancy
Pr1 Pr 0.000 0.000 0.000 1
Sc1 Sc 0.750 0.750 0.750 1
Te1 Te 0.250 0.250 0.250 1
```

Computed properties:
Theoretical density: 5.098 g/cm3
E: -13.9 eV per cell
E above lowest polymorph: 614 meV/atom
Crystal system: cubic

=====

## PrScZn (PBE)

Data for PrScZn after structural relaxation.

CIF file:
```
data_PrScZn
_symmetry_space_group_name_H-M 'P 1'
_symmetry_Int_Tables_number 1
_symmetry_space_group_name_Hall 'P 1'
_cell_length_a 4.904
_cell_length_b 4.904
_cell_length_c 4.904
_cell_angle_alpha 60.00
_cell_angle_beta 60.00
_cell_angle_gamma 60.00
loop_
_atom_site_label
_atom_site_type_symbol
_atom_site_fract_x
_atom_site_fract_y
_atom_site_fract_z
_atom_site_occupancy
Pr1 Pr 0.000 0.000 0.000 1
Sc1 Sc 0.750 0.750 0.750 1
Zn1 Zn 0.250 0.250 0.250 1
```

Computed properties:
Theoretical density: 5.004 g/cm3
DFT formation energy: 0.58 eV per atom
E: -10.6 eV per cell
E above lowest polymorph: 528 meV/atom
Crystal system: cubic